A relaxed Tm3Ag crystal. Source: Alexandria, functional PBE.

Its crystal system is orthorhombic. The value obtained for the formation enthalpy at 0 K is -47.3 kJ/mol of formula units. The total energy is -4.189 eV/atom.

Unit cell a=3.666 b=5.276 c=11.080 alpha=90.00 beta=90.00 gamma=90.00
Space group Immm (No. 71)
Inequivalent atoms, fractional coordinates:
Tm  0.000  0.000  0.000 x2
Tm  0.000  0.500  0.216 x4
Ag  0.000  0.000  0.500 x2


A relaxed TmAg3 crystal. Source: Alexandria, functional PBE.

Its crystal system is tetragonal. The value obtained for the formation enthalpy at 0 K is -84.3 kJ/mol of formula units. The total energy is -3.475 eV/atom.

Unit cell a=4.362 b=4.362 c=8.450 alpha=90.00 beta=90.00 gamma=90.00
Space group I4/mmm (No. 139)
Inequivalent atoms, fractional coordinates:
Tm  0.000  0.000  0.000 x2
Ag  0.000  0.000  0.500 x2
Ag  0.000  0.500  0.250 x4


A relaxed Tm3Ag crystal. Source: Alexandria, functional PBE.

Its crystal system is tetragonal. The value obtained for the formation enthalpy at 0 K is 10.7 kJ/mol of formula units. The total energy is -4.039 eV/atom.

Unit cell a=4.521 b=4.521 c=10.325 alpha=90.00 beta=90.00 gamma=90.00
Space group I4/mmm (No. 139)
Inequivalent atoms, fractional coordinates:
Tm  0.000  0.000  0.000 x2
Tm  0.000  0.500  0.250 x4
Ag  0.000  0.000  0.500 x2


A relaxed Tm5Ag crystal. Source: Alexandria, functional PBE.

Its crystal system is orthorhombic. The value obtained for the formation enthalpy at 0 K is 6.9 kJ/mol of formula units. The total energy is -4.190 eV/atom.

Unit cell a=4.638 b=14.778 c=4.813 alpha=90.00 beta=90.00 gamma=90.00
Space group Cmmm (No. 65)
Inequivalent atoms, fractional coordinates:
Tm  0.000  0.000  0.000 x2
Tm  0.000  0.162  0.500 x4
Tm  0.000  0.330  0.000 x4
Ag  0.000  0.500  0.500 x2


A relaxed Tm3Ag2 crystal. Source: Alexandria, functional PBE.

Its crystal system is tetragonal. The value obtained for the formation enthalpy at 0 K is -124.8 kJ/mol of formula units. The total energy is -4.082 eV/atom.

Unit cell a=3.556 b=3.556 c=19.405 alpha=90.00 beta=90.00 gamma=90.00
Space group P4/mmm (No. 123)
Inequivalent atoms, fractional coordinates:
Tm  0.000  0.000  0.000 x1
Tm  0.000  0.000  0.188 x2
Tm  0.000  0.000  0.375 x2
Tm  0.500  0.500  0.500 x1
Ag  0.500  0.500  0.093 x2
Ag  0.500  0.500  0.281 x2


A relaxed Tm13Ag2 crystal. Source: Alexandria, functional PBE.

Its crystal system is triclinic. The value obtained for the formation enthalpy at 0 K is -46.3 kJ/mol of formula units. The total energy is -4.287 eV/atom.

Unit cell a=6.512 b=8.415 c=8.610 alpha=66.61 beta=79.18 gamma=81.99
Space group P-1 (No. 2)
Inequivalent atoms, fractional coordinates:
Tm  0.000  0.000  0.000 x1
Tm  0.117  0.477  0.732 x2
Tm  0.203  0.232  0.149 x2
Tm  0.243  0.945  0.577 x2
Tm  0.303  0.654  0.970 x2
Tm  0.374  0.409  0.388 x2
Tm  0.496  0.855  0.205 x2
Ag  0.060  0.770  0.382 x2


A relaxed Tm2VAg crystal. Source: Alexandria, functional PBE.

Its crystal system is tetragonal. The value obtained for the formation enthalpy at 0 K is -0.5 kJ/mol of formula units. The total energy is -5.229 eV/atom.

Unit cell a=3.587 b=3.587 c=7.006 alpha=90.00 beta=90.00 gamma=90.00
Space group P4/mmm (No. 123)
Inequivalent atoms, fractional coordinates:
Tm  0.000  0.000  0.241 x2
V  0.500  0.500  0.000 x1
Ag  0.500  0.500  0.500 x1


A relaxed Y2TmAg4 crystal. Source: Alexandria, functional PBE.

Its crystal system is tetragonal. The value obtained for the formation enthalpy at 0 K is -68.0 kJ/mol of formula units. The total energy is -4.216 eV/atom.

Unit cell a=7.067 b=7.067 c=7.255 alpha=90.00 beta=90.00 gamma=90.00
Space group I4/mmm (No. 139)
Inequivalent atoms, fractional coordinates:
Y  0.000  0.500  0.000 x4
Tm  0.000  0.000  0.000 x2
Ag  0.250  0.250  0.250 x8


A relaxed Y3Tm2Ag2 crystal. Source: Alexandria, functional PBE.

Its crystal system is orthorhombic. The value obtained for the formation enthalpy at 0 K is -65.1 kJ/mol of formula units. The total energy is -4.959 eV/atom.

Unit cell a=3.607 b=30.444 c=3.560 alpha=90.00 beta=90.00 gamma=90.00
Space group Cmmm (No. 65)
Inequivalent atoms, fractional coordinates:
Y  0.000  0.000  0.000 x2
Y  0.000  0.123  0.000 x4
Tm  0.000  0.298  0.500 x4
Ag  0.000  0.440  0.500 x4


A relaxed YTm2Ag crystal. Source: Alexandria, functional PBE.

Its crystal system is tetragonal. The value obtained for the formation enthalpy at 0 K is 6.1 kJ/mol of formula units. The total energy is -4.549 eV/atom.

Unit cell a=4.736 b=4.736 c=4.763 alpha=90.00 beta=90.00 gamma=90.00
Space group P4/mmm (No. 123)
Inequivalent atoms, fractional coordinates:
Y  0.000  0.000  0.000 x1
Tm  0.000  0.500  0.500 x2
Ag  0.500  0.500  0.000 x1


A relaxed YTm4Ag crystal. Source: Alexandria, functional PBE.

Its crystal system is tetragonal. The value obtained for the formation enthalpy at 0 K is -44.2 kJ/mol of formula units. The total energy is -4.610 eV/atom.

Unit cell a=3.501 b=3.501 c=13.844 alpha=90.00 beta=90.00 gamma=90.00
Space group P4/mmm (No. 123)
Inequivalent atoms, fractional coordinates:
Y  0.000  0.000  0.000 x1
Tm  0.000  0.000  0.363 x2
Tm  0.500  0.500  0.182 x2
Ag  0.500  0.500  0.500 x1


A relaxed Y3Tm2Ag2 crystal. Source: Alexandria, functional PBE.

Its crystal system is monoclinic. The value obtained for the formation enthalpy at 0 K is -95.0 kJ/mol of formula units. The total energy is -5.003 eV/atom.

Unit cell a=13.014 b=3.644 c=9.138 alpha=90.00 beta=115.72 gamma=90.00
Space group C2/m (No. 12)
Inequivalent atoms, fractional coordinates:
Y  0.000  0.000  0.000 x2
Y  0.110  0.000  0.445 x4
Tm  0.146  0.500  0.814 x4
Ag  0.178  0.500  0.225 x4